Record 1
Na2Pb2F5 | GGA-PBE | optimized geometry

Output
As for the raw formation energy: -2.248 eV/atom.

abc: 14.6786 6.5550 6.4731
angles: 90.00 90.00 90.00
Space group Ima2 (No. 46)
One atom of each set of equivalent atoms:
Na: 0.0000 0.0000 0.0000
Na: 0.2500 0.0198 0.0192
Pb: 0.1252 0.0107 0.5369
F: 0.0573 0.2198 0.2471
F: 0.1327 0.6496 0.3920
F: 0.2500 0.2240 0.2911

---

Record 2
AlAsP | GGA-PBE | optimized geometry

Output
The calculation puts the relative energy among the computed polymorphs at 125 meV/atom. The calculation puts the formation energy at 0.16 eV/atom.

abc: 3.0406 3.0406 7.5014
angles: 90.00 90.00 120.00
Space group P3m1 (No. 156)
One atom of each set of equivalent atoms:
Al: 0.0000 0.0000 0.0000
As: 0.6667 0.3333 0.2715
P: 0.3333 0.6667 0.7679

---

Record 3
MgAgRh | GGA-PBE | optimized geometry

Output
The calculation puts the relative energy among the computed polymorphs at 30 meV/atom. The calculation puts the formation energy at -0.18 eV/atom.

abc: 8.7936 4.1134 5.6581
angles: 90.00 106.09 90.00
Space group Cm (No. 8)
One atom of each set of equivalent atoms:
Mg: 0.0000 0.0000 0.0000
Mg: 0.1979 0.5000 0.3968
Ag: 0.0218 0.0000 0.5275
Ag: 0.3437 0.0000 0.1989
Rh: 0.1721 0.5000 0.8699
Rh: 0.3511 0.0000 0.7107

---

Record 4
TbEr2Tm12 | GGA-PBE | optimized geometry

Output
The calculation puts the formation energy at 0.07 eV/atom.

abc: 3.5696 5.5671 23.1074
angles: 90.00 94.40 90.00
Space group P2/m (No. 10)
One atom of each set of equivalent atoms:
Tb: 0.0000 0.0000 0.0000
Er: 0.1412 0.0000 0.2849
Tm: 0.0947 0.5000 0.1934
Tm: 0.2204 0.5000 0.4428
Tm: 0.2891 0.0000 0.5757
Tm: 0.3404 0.5000 0.6777
Tm: 0.4272 0.0000 0.8522
Tm: 0.4684 0.5000 0.9327

---

Record 5
YMnRe2 | GGA-PBE | optimized geometry

Output
The calculation puts the relative energy among the computed polymorphs at 429 meV/atom. The calculation puts the formation energy at 0.62 eV/atom.

abc: 5.3474 9.2328 2.7757
angles: 90.00 90.00 90.00
Space group Cmmm (No. 65)
One atom of each set of equivalent atoms:
Y: 0.0000 0.0000 0.0000
Mn: 0.0000 0.5000 0.0000
Re: 0.2500 0.2500 0.5000

---

Record 6
Ce5ErSb5 | GGA-PBE | optimized geometry

Output
As for the raw formation energy: -0.826 eV/atom.

abc: 14.0364 6.2945 8.8798
angles: 90.00 108.72 90.00
Space group C2/m (No. 12)
One atom of each set of equivalent atoms:
Ce: 0.0000 0.0000 0.0000
Ce: 0.1641 0.5000 0.3301
Ce: 0.1694 0.5000 0.8331
Er: 0.0000 0.0000 0.5000
Sb: 0.0000 0.5000 0.5000
Sb: 0.1646 0.0000 0.8293
Sb: 0.1660 0.0000 0.3377

---

Which formula does entry 6 have?
Ce5ErSb5